[1]
# Tl2TcCl

A relaxed Tl2TcCl crystal (PBE, Alexandria via LeMat-Bulk).

Computed properties:
Energy relative to the elements, uncorrected in meV/atom: 382.0
Density in g cm⁻³: 9.8
Distance to the lowest polymorph of the same formula in eV per atom: 0.165

Unit cell a=8.9375 b=8.9375 c=8.9375 alpha=22.53 beta=22.53 gamma=22.53
Positions (direct):
1 Tl 0.2446 0.2446 0.2446
2 Tl 0.7554 0.7554 0.7554
3 Tc 0.5000 0.5000 0.5000
4 Cl 0.0000 0.0000 0.0000

[2]
# Tl2TcCl

A relaxed Tl2TcCl crystal (PBE, Alexandria via LeMat-Bulk).

Computed properties:
Energy relative to the elements, uncorrected in meV/atom: 656.6
Density in g cm⁻³: 8.9
Distance to the lowest polymorph of the same formula in eV per atom: 0.440

Unit cell a=5.2361 b=5.2361 c=5.2361 alpha=60.00 beta=60.00 gamma=60.00
Positions (direct):
1 Tl 0.2500 0.2500 0.2500
2 Tl 0.7500 0.7500 0.7500
3 Tc 0.0000 0.0000 0.0000
4 Cl 0.5000 0.5000 0.5000

[3]
# TlTc2Cl4

A relaxed TlTc2Cl4 crystal (PBE, Alexandria via LeMat-Bulk).

Computed properties:
Energy relative to the elements, uncorrected in meV/atom: 349.3
Density in g cm⁻³: 3.8

Unit cell a=8.0768 b=8.0768 c=8.0768 alpha=137.78 beta=137.78 gamma=61.24
Positions (direct):
1 Tl 0.0000 0.0000 0.0000
2 Tc 0.3970 0.3970 0.0000
3 Tc 0.6030 0.6030 0.0000
4 Cl 0.0000 0.5000 0.5000
5 Cl 0.2271 0.2271 0.0000
6 Cl 0.5000 0.0000 0.5000
7 Cl 0.7729 0.7729 0.0000

[4]
# Tl2ZnTcCl

A relaxed Tl2ZnTcCl crystal (PBE, Alexandria via LeMat-Bulk).

Computed properties:
Energy relative to the elements, uncorrected in meV/atom: 675.1
Density in g cm⁻³: 6.8

Unit cell a=5.4745 b=5.4745 c=4.9684 alpha=90.00 beta=90.00 gamma=90.00
Positions (direct):
1 Tl 0.0000 0.5000 0.0000
2 Tl 0.5000 0.0000 0.0000
3 Zn 0.0000 0.0000 0.0000
4 Tc 0.0000 0.0000 0.5000
5 Cl 0.5000 0.5000 0.5000

[5]
# TlZnTcCl2

A relaxed TlZnTcCl2 crystal (PBE, Alexandria via LeMat-Bulk).

Computed properties:
Energy relative to the elements, uncorrected in meV/atom: 15.6
Density in g cm⁻³: 5.9

Unit cell a=4.8781 b=4.8781 c=5.1714 alpha=90.00 beta=90.00 gamma=90.00
Positions (direct):
1 Tl 0.0000 0.0000 0.0000
2 Zn 0.5000 0.5000 0.0000
3 Tc 0.5000 0.5000 0.5000
4 Cl 0.0000 0.5000 0.5000
5 Cl 0.5000 0.0000 0.5000

[6]
# VTcCl3

A relaxed VTcCl3 crystal (PBE, Alexandria via LeMat-Bulk).

Computed properties:
Energy relative to the elements, uncorrected in meV/atom: 386.2
Density in g cm⁻³: 3.7
Distance to the lowest polymorph of the same formula in eV per atom: 0.218

Unit cell a=4.8749 b=4.8749 c=4.8749 alpha=90.00 beta=90.00 gamma=90.00
Positions (direct):
1 V 0.0000 0.0000 0.0000
2 Tc 0.5000 0.5000 0.5000
3 Cl 0.0000 0.5000 0.5000
4 Cl 0.5000 0.0000 0.5000
5 Cl 0.5000 0.5000 0.0000